Here is a relaxed structure of HfNiPO2 from Alexandria via LeMat-Bulk. Energies are from PBE+U.

abc: 3.9523 3.9523 5.5379
angles: 90.00 90.00 90.00
Site moments in Bohr magnetons follow the coordinates.
Sites, in units of the cell vectors:
Ni (0.5000, 0.5000, 0.5000)  1.61
Hf (0.0000, 0.0000, 0.0000)  -0.01
O (0.0000, 0.5000, 0.0000)  0.04
O (0.5000, 0.0000, 0.0000)  0.04
P (0.0000, 0.0000, 0.5000)  -0.07

Properties
Energy relative to the lowest polymorph listed for this composition (kJ/mol of formula units): 0
Density (g/cm3): 5.76